[1]
Li2TbTh2Sn2 after structural relaxation. Source: the Alexandria database, functional PBE.

a = 4.807 Å, b = 4.807 Å, c = 9.497 Å
α = 75.34°, β = 75.34°, γ = 60.00°
Atoms (fractional coordinates):
Li: 0.602 0.602 0.195
Li: 0.398 0.398 0.805
Tb: 0.000 0.000 0.000
Th: 0.130 0.130 0.610
Th: 0.870 0.870 0.390
Sn: 0.733 0.733 0.802
Sn: 0.267 0.267 0.198

***

[2]
LiTbThSn after structural relaxation. Source: the Alexandria database, functional PBE.

a = 5.316 Å, b = 5.316 Å, c = 5.316 Å
α = 60.00°, β = 60.00°, γ = 60.00°
Atoms (fractional coordinates):
Tb: 0.500 0.500 0.500
Sn: 0.250 0.250 0.250
Th: 0.000 0.000 0.000
Li: 0.750 0.750 0.750

***

[3]
LiTbTmSn after structural relaxation. Source: the Alexandria database, functional PBE.

a = 5.191 Å, b = 5.191 Å, c = 5.191 Å
α = 60.00°, β = 60.00°, γ = 60.00°
Atoms (fractional coordinates):
Tm: 0.250 0.250 0.250
Tb: 0.750 0.750 0.750
Sn: 0.500 0.500 0.500
Li: 0.000 0.000 0.000

***

[4]
Li2Tb2YSn2 after structural relaxation. Source: the Alexandria database, functional PBE.

a = 4.774 Å, b = 4.774 Å, c = 9.317 Å
α = 75.16°, β = 75.16°, γ = 60.00°
Atoms (fractional coordinates):
Li: 0.599 0.599 0.203
Li: 0.401 0.401 0.797
Tb: 0.129 0.129 0.614
Tb: 0.871 0.871 0.386
Y: 0.000 0.000 0.000
Sn: 0.736 0.736 0.791
Sn: 0.264 0.264 0.209

***

[5]
LiTbZnSn after structural relaxation. Source: the Alexandria database, functional PBE.

a = 5.001 Å, b = 5.001 Å, c = 5.001 Å
α = 60.00°, β = 60.00°, γ = 60.00°
Atoms (fractional coordinates):
Zn: 0.750 0.750 0.750
Tb: 0.000 0.000 0.000
Sn: 0.250 0.250 0.250
Li: 0.500 0.500 0.500

***

[6]
Li2TbZn2Sn2 after structural relaxation. Source: the Alexandria database, functional PBE.

a = 4.467 Å, b = 4.467 Å, c = 8.572 Å
α = 74.90°, β = 74.90°, γ = 60.00°
Atoms (fractional coordinates):
Li: 0.142 0.142 0.575
Li: 0.858 0.858 0.425
Tb: 0.000 0.000 0.000
Zn: 0.555 0.555 0.335
Zn: 0.445 0.445 0.665
Sn: 0.741 0.741 0.778
Sn: 0.259 0.259 0.222

***

[7]
Li3Tb4ZnSn8 after structural relaxation. Source: the Alexandria database, functional PBE.

a = 4.327 Å, b = 4.715 Å, c = 18.837 Å
α = 90.00°, β = 90.00°, γ = 90.00°
Atoms (fractional coordinates):
Li: 0.500 0.000 0.324
Li: 0.500 0.500 0.673
Li: 0.000 0.500 0.176
Tb: 0.000 0.000 0.596
Tb: 0.500 0.000 0.109
Tb: 0.500 0.500 0.894
Tb: 0.000 0.500 0.393
Zn: 0.000 0.000 0.831
Sn: 0.500 0.000 0.743
Sn: 0.000 0.000 0.246
Sn: 0.000 0.500 0.754
Sn: 0.500 0.500 0.255
Sn: 0.000 0.000 0.964
Sn: 0.500 0.000 0.456
Sn: 0.500 0.500 0.540
Sn: 0.000 0.500 0.044

***

[8]
LiTcSn4 after structural relaxation. Source: the Alexandria database, functional PBE.

a = 6.730 Å, b = 6.730 Å, c = 7.406 Å
α = 117.02°, β = 117.02°, γ = 90.00°
Atoms (fractional coordinates):
Li: 0.500 0.500 0.000
Li: 0.000 0.000 0.000
Tc: 0.250 0.250 0.500
Tc: 0.750 0.750 0.500
Sn: 0.476 0.976 0.274
Sn: 0.976 0.798 0.274
Sn: 0.298 0.476 0.274
Sn: 0.702 0.524 0.726
Sn: 0.024 0.202 0.726
Sn: 0.524 0.024 0.726
Sn: 0.202 0.702 0.726
Sn: 0.798 0.298 0.274

***

[9]
LiTcSn2 after structural relaxation. Source: the Alexandria database, functional PBE.

a = 4.666 Å, b = 4.666 Å, c = 4.666 Å
α = 60.00°, β = 60.00°, γ = 60.00°
Atoms (fractional coordinates):
Li: 0.000 0.000 0.000
Sn: 0.250 0.250 0.250
Sn: 0.750 0.750 0.750
Tc: 0.500 0.500 0.500

***

[10]
LiTcSn2 after structural relaxation. Source: the Alexandria database, functional PBE.

a = 3.089 Å, b = 3.089 Å, c = 10.270 Å
α = 81.35°, β = 81.35°, γ = 60.00°
Atoms (fractional coordinates):
Li: 0.500 0.500 0.500
Sn: 0.089 0.089 0.733
Sn: 0.911 0.911 0.267
Tc: 0.000 0.000 0.000

***

Magnetic moment / μB per formula unit: 0.00, 0.00, 0.00, 0.00, 0.00, 0.00, 0.00, 0.00, 0.00, 1.60
Electronic total energy / eV/f.u.: -33.29, -18.98, -16.59, -30.77, -13.54, -21.96, -63.99, -29.15, -20.29, -18.50
DOS(E_F) / states/eV/atom: 0.844, 1.040, 0.795, 0.617, 0.239, 0.283, 0.330, 0.594, 1.065, 0.682